Entry 1:
VASP calculation (PBE-GGA) on a relaxed structure of KNa3Pt.

abc: 5.631 5.631 5.631
angles: 90.00 90.00 90.00
Positions (direct):
Na: 0.000 0.500 0.000
Na: 0.000 0.000 0.500
Na: 0.500 0.000 0.000
K: 0.500 0.500 0.500
Pt: 0.000 0.000 0.000

Computed properties:
magnetization	0.000	μB per atom
VASP energy	-2.210	eV/atom
ΔE_f	0.01	eV per atom
SG	Pm-3m (221)
D(E_F)	1.60	states/eV per cell
energy relative to the lowest polymorph listed for this composition	0.772	kcal/mol of atoms
theoretical density	2.8	g cm⁻³
crystal system	cubic

Entry 2:
VASP calculation (PBE-GGA) on a relaxed structure of KNaPt.

abc: 5.962 5.653 11.830
angles: 82.36 75.40 58.17
Positions (direct):
Na: 0.155 0.500 0.691
Na: 0.345 0.500 0.309
Na: 0.595 0.000 0.809
Na: 0.405 0.000 0.191
Pt: 0.626 0.500 0.748
Pt: 0.874 0.500 0.252
Pt: 0.124 0.000 0.752
Pt: 0.876 0.000 0.248
K: 0.921 0.158 0.500
K: 0.579 0.842 0.500
K: 0.829 0.342 0.000
K: 0.171 0.658 0.000

Computed properties:
magnetization	0.000	μB per atom
VASP energy	-2.899	eV/atom
ΔE_f	-0.08	eV per atom
SG	Fddd (70)
D(E_F)	3.31	states/eV per cell
energy relative to the lowest polymorph listed for this composition	0.000	kcal/mol of atoms
theoretical density	5.2	g cm⁻³
crystal system	orthorhombic

Entry 3:
VASP calculation (PBE-GGA) on a relaxed structure of KNa2Pt2.

abc: 8.904 8.904 2.785
angles: 90.00 90.00 90.00
Positions (direct):
Na: 0.379 0.879 0.000
Na: 0.879 0.621 0.000
Na: 0.621 0.121 0.000
Na: 0.121 0.379 0.000
K: 0.000 0.000 0.000
K: 0.500 0.500 0.000
Pt: 0.174 0.674 0.500
Pt: 0.674 0.826 0.500
Pt: 0.826 0.326 0.500
Pt: 0.326 0.174 0.500

Computed properties:
magnetization	0.000	μB per atom
VASP energy	-3.239	eV/atom
ΔE_f	-0.08	eV per atom
SG	P4/mbm (127)
D(E_F)	1.92	states/eV per cell
energy relative to the lowest polymorph listed for this composition	0.000	kcal/mol of atoms
theoretical density	7.1	g cm⁻³
crystal system	tetragonal

Entry 4:
VASP calculation (PBE-GGA) on a relaxed structure of KNa3Pt.

abc: 6.890 10.432 10.432
angles: 62.66 79.54 79.54
Positions (direct):
K: 0.250 0.932 0.068
K: 0.750 0.068 0.932
K: 0.250 0.375 0.625
K: 0.750 0.625 0.375
Na: 0.577 0.649 0.993
Na: 0.923 0.007 0.351
Na: 0.423 0.351 0.007
Na: 0.077 0.993 0.649
Na: 0.919 0.350 0.986
Na: 0.581 0.014 0.650
Na: 0.081 0.650 0.014
Na: 0.419 0.986 0.350
Na: 0.405 0.664 0.668
Na: 0.095 0.332 0.336
Na: 0.595 0.336 0.332
Na: 0.905 0.668 0.664
Pt: 0.708 0.408 0.742
Pt: 0.792 0.258 0.592
Pt: 0.292 0.592 0.258
Pt: 0.208 0.742 0.408

Computed properties:
magnetization	0.000	μB per atom
VASP energy	-2.243	eV/atom
ΔE_f	-0.02	eV per atom
SG	C2/c (15)
D(E_F)	6.47	states/eV per cell
energy relative to the lowest polymorph listed for this composition	0.000	kcal/mol of atoms
theoretical density	3.1	g cm⁻³
crystal system	monoclinic

Entry 5:
VASP calculation (PBE-GGA) on a relaxed structure of KRbNa2Pt.

abc: 5.787 5.787 6.205
angles: 90.00 90.00 90.00
Positions (direct):
Na: 0.000 0.500 0.000
Na: 0.500 0.000 0.000
K: 0.000 0.000 0.500
Rb: 0.500 0.500 0.500
Pt: 0.000 0.000 0.000

Computed properties:
magnetization	0.000	μB per atom
VASP energy	-2.106	eV/atom
ΔE_f	0.04	eV per atom
SG	P4/mmm (123)
D(E_F)	2.20	states/eV per cell
energy relative to the lowest polymorph listed for this composition	0.000	kcal/mol of atoms
theoretical density	2.9	g cm⁻³
crystal system	tetragonal

Entry 6:
VASP calculation (PBE-GGA) on a relaxed structure of KRbNa2Pt.

abc: 5.773 5.773 6.424
angles: 90.00 90.00 90.00
Positions (direct):
Na: 0.000 0.500 0.000
Na: 0.500 0.000 0.000
K: 0.500 0.500 0.500
Rb: 0.000 0.000 0.500
Pt: 0.000 0.000 0.000

Computed properties:
magnetization	0.000	μB per atom
VASP energy	-2.079	eV/atom
ΔE_f	0.07	eV per atom
SG	P4/mmm (123)
D(E_F)	2.32	states/eV per cell
energy relative to the lowest polymorph listed for this composition	0.637	kcal/mol of atoms
theoretical density	2.8	g cm⁻³
crystal system	tetragonal

Entry 7:
VASP calculation (PBE-GGA) on a relaxed structure of KRb2NaPt.

abc: 6.559 6.559 6.302
angles: 90.00 90.00 90.00
Positions (direct):
Na: 0.500 0.500 0.500
K: 0.000 0.000 0.500
Rb: 0.000 0.500 0.000
Rb: 0.500 0.000 0.000
Pt: 0.000 0.000 0.000

Computed properties:
magnetization	0.000	μB per atom
VASP energy	-2.017	eV/atom
ΔE_f	0.06	eV per atom
SG	P4/mmm (123)
D(E_F)	0.58	states/eV per cell
energy relative to the lowest polymorph listed for this composition	0.000	kcal/mol of atoms
theoretical density	2.6	g cm⁻³
crystal system	tetragonal

Entry 8:
VASP calculation (PBE-GGA) on a relaxed structure of KRb2NaPt.

abc: 6.628 6.628 5.780
angles: 90.00 90.00 90.00
Positions (direct):
Na: 0.000 0.000 0.500
K: 0.500 0.500 0.500
Rb: 0.000 0.500 0.000
Rb: 0.500 0.000 0.000
Pt: 0.000 0.000 0.000

Computed properties:
magnetization	0.000	μB per atom
VASP energy	-2.001	eV/atom
ΔE_f	0.08	eV per atom
SG	P4/mmm (123)
D(E_F)	0.98	states/eV per cell
energy relative to the lowest polymorph listed for this composition	0.378	kcal/mol of atoms
theoretical density	2.8	g cm⁻³
crystal system	tetragonal